Entry from the Alexandria database: a relaxed structure of K2NbAgF6 (PBE-GGA).

It has space group Fm-3m (No. 225), with a = 9.027 Å, b = 9.027 Å, c = 9.027 Å, α = 90.00°, β = 90.00° and γ = 90.00°. Symmetry generates all atoms from K at (0.250, 0.250, 0.250), Nb at (0.000, 0.000, 0.000), Ag at (0.000, 0.000, 0.500) and F at (0.000, 0.000, 0.233).

The value obtained for the total magnetic moment is 1.99 μB/f.u. The theoretical density is 3.55 g cm⁻³. The final energy is -4.99 eV per atom. The raw formation energy comes out at -2.352 eV/atom.